# 1
# Pm2SmSc

Crystalline Pm2SmSc at its relaxed geometry (PBE, Alexandria).

Summary:
M_tot   0.00 μB per cell
E_tot   -5.006 eV/atom
DOS(E_F)   33.22 states/eV/cell
Energy of formation   0.1319 eV per atom
Energy above the lowest structure with this stoichiometry   0.094 eV/atom

```
data_Pm2SmSc
_chemical_formula_sum 'Pm8 Sm4 Sc4'
_symmetry_space_group_name_H-M 'F m -3 m'
_symmetry_Int_Tables_number 225
_symmetry_space_group_name_Hall '-F 4 2 3'
_cell_length_a 7.978
_cell_length_b 7.978
_cell_length_c 7.978
_cell_angle_alpha 90.00
_cell_angle_beta 90.00
_cell_angle_gamma 90.00
loop_
_atom_site_label
_atom_site_type_symbol
_atom_site_fract_x
_atom_site_fract_y
_atom_site_fract_z
Pm1 Pm 0.250 0.250 0.250
Sm1 Sm 0.000 0.000 0.000
Sc1 Sc 0.000 0.000 0.500
```



# 2
# PmSmScSn

Crystalline PmSmScSn at its relaxed geometry (PBE, Alexandria).

Summary:
M_tot   0.01 μB per cell
E_tot   -5.174 eV/atom
DOS(E_F)   28.58 states/eV/cell
Energy of formation   -0.2230 eV per atom

```
data_PmSmScSn
_chemical_formula_sum 'Pm4 Sm4 Sc4 Sn4'
_symmetry_space_group_name_H-M 'F -4 3 m'
_symmetry_Int_Tables_number 216
_symmetry_space_group_name_Hall 'F -4 2 3'
_cell_length_a 7.569
_cell_length_b 7.569
_cell_length_c 7.569
_cell_angle_alpha 90.00
_cell_angle_beta 90.00
_cell_angle_gamma 90.00
loop_
_atom_site_label
_atom_site_type_symbol
_atom_site_fract_x
_atom_site_fract_y
_atom_site_fract_z
Pm1 Pm 0.000 0.000 0.000
Sm1 Sm 0.250 0.250 0.250
Sc1 Sc 0.250 0.250 0.750
Sn1 Sn 0.000 0.000 0.500
```



# 3
# Tb5Pm2SmSc

Crystalline Tb5Pm2SmSc at its relaxed geometry (PBE, Alexandria).

Summary:
M_tot   0.00 μB per cell
E_tot   -4.699 eV/atom
DOS(E_F)   51.93 states/eV/cell
Energy of formation   0.1572 eV per atom

```
data_Tb5Pm2SmSc
_chemical_formula_sum 'Tb20 Pm8 Sm4 Sc4'
_symmetry_space_group_name_H-M 'C m c 21'
_symmetry_Int_Tables_number 36
_symmetry_space_group_name_Hall 'C 2c -2'
_cell_length_a 5.599
_cell_length_b 19.899
_cell_length_c 10.455
_cell_angle_alpha 90.00
_cell_angle_beta 90.00
_cell_angle_gamma 90.00
loop_
_atom_site_label
_atom_site_type_symbol
_atom_site_fract_x
_atom_site_fract_y
_atom_site_fract_z
Tb1 Tb 0.000 0.017 0.000
Tb2 Tb 0.000 0.126 0.278
Tb3 Tb 0.000 0.203 0.963
Tb4 Tb 0.000 0.224 0.581
Tb5 Tb 0.000 0.483 0.277
Pm1 Pm 0.000 0.385 0.994
Pm2 Pm 0.000 0.387 0.574
Sm1 Sm 0.000 0.089 0.717
Sc1 Sc 0.000 0.304 0.274
```



# 4
# Tb6Pm2SmSc3

Crystalline Tb6Pm2SmSc3 at its relaxed geometry (PBE, Alexandria).

Summary:
M_tot   0.00 μB per cell
E_tot   -5.037 eV/atom
DOS(E_F)   34.32 states/eV/cell
Energy of formation   0.0464 eV per atom

```
data_Tb6Pm2SmSc3
_chemical_formula_sum 'Tb12 Pm4 Sm2 Sc6'
_symmetry_space_group_name_H-M 'C 1 2/m 1'
_symmetry_Int_Tables_number 12
_symmetry_space_group_name_Hall '-C 2y'
_cell_length_a 6.100
_cell_length_b 10.564
_cell_length_c 11.552
_cell_angle_alpha 90.00
_cell_angle_beta 100.13
_cell_angle_gamma 90.00
loop_
_atom_site_label
_atom_site_type_symbol
_atom_site_fract_x
_atom_site_fract_y
_atom_site_fract_z
Tb1 Tb 0.246 0.000 0.238
Tb2 Tb 0.246 0.333 0.238
Pm1 Pm 0.000 0.333 0.500
Sm1 Sm 0.000 0.000 0.500
Sc1 Sc 0.000 0.167 0.000
Sc2 Sc 0.000 0.500 0.000
```



# 5
# TbPmSm5Sc2

Crystalline TbPmSm5Sc2 at its relaxed geometry (PBE, Alexandria).

Summary:
M_tot   0.00 μB per cell
E_tot   -4.905 eV/atom
DOS(E_F)   54.44 states/eV/cell
Energy of formation   0.1659 eV per atom

```
data_TbPmSm5Sc2
_chemical_formula_sum 'Tb4 Pm4 Sm20 Sc8'
_symmetry_space_group_name_H-M 'C m c 21'
_symmetry_Int_Tables_number 36
_symmetry_space_group_name_Hall 'C 2c -2'
_cell_length_a 5.675
_cell_length_b 21.775
_cell_length_c 9.462
_cell_angle_alpha 90.00
_cell_angle_beta 90.00
_cell_angle_gamma 90.00
loop_
_atom_site_label
_atom_site_type_symbol
_atom_site_fract_x
_atom_site_fract_y
_atom_site_fract_z
Tb1 Tb 0.000 0.098 0.000
Pm1 Pm 0.000 0.316 0.602
Sm1 Sm 0.000 0.032 0.329
Sm2 Sm 0.000 0.108 0.627
Sm3 Sm 0.000 0.195 0.299
Sm4 Sm 0.000 0.233 0.911
Sm5 Sm 0.000 0.490 0.594
Sc1 Sc 0.000 0.366 0.287
Sc2 Sc 0.000 0.386 0.912
```



# 6
# Tb2PmSmSc

Crystalline Tb2PmSmSc at its relaxed geometry (PBE, Alexandria).

Summary:
M_tot   0.00 μB per cell
E_tot   -4.685 eV/atom
DOS(E_F)   24.76 states/eV/cell
Energy of formation   0.3272 eV per atom

```
data_Tb2PmSmSc
_chemical_formula_sum 'Tb8 Pm4 Sm4 Sc4'
_symmetry_space_group_name_H-M 'C m c m'
_symmetry_Int_Tables_number 63
_symmetry_space_group_name_Hall '-C 2c 2'
_cell_length_a 8.259
_cell_length_b 11.352
_cell_length_c 7.111
_cell_angle_alpha 90.00
_cell_angle_beta 90.00
_cell_angle_gamma 90.00
loop_
_atom_site_label
_atom_site_type_symbol
_atom_site_fract_x
_atom_site_fract_y
_atom_site_fract_z
Tb1 Tb 0.198 0.000 0.000
Pm1 Pm 0.000 0.233 0.250
Sm1 Sm 0.000 0.234 0.750
Sc1 Sc 0.000 0.499 0.250
```



# 7
# Tb5PmSmSc2

Crystalline Tb5PmSmSc2 at its relaxed geometry (PBE, Alexandria).

Summary:
M_tot   0.00 μB per cell
E_tot   -4.864 eV/atom
DOS(E_F)   53.43 states/eV/cell
Energy of formation   0.1679 eV per atom

```
data_Tb5PmSmSc2
_chemical_formula_sum 'Tb20 Pm4 Sm4 Sc8'
_symmetry_space_group_name_H-M 'C m c 21'
_symmetry_Int_Tables_number 36
_symmetry_space_group_name_Hall 'C 2c -2'
_cell_length_a 5.624
_cell_length_b 21.533
_cell_length_c 9.389
_cell_angle_alpha 90.00
_cell_angle_beta 90.00
_cell_angle_gamma 90.00
loop_
_atom_site_label
_atom_site_type_symbol
_atom_site_fract_x
_atom_site_fract_y
_atom_site_fract_z
Tb1 Tb 0.000 0.008 0.000
Tb2 Tb 0.000 0.266 0.315
Tb3 Tb 0.000 0.307 0.701
Tb4 Tb 0.000 0.391 0.025
Tb5 Tb 0.000 0.468 0.730
Pm1 Pm 0.000 0.186 0.002
Sm1 Sm 0.000 0.403 0.398
Sc1 Sc 0.000 0.113 0.308
Sc2 Sc 0.000 0.140 0.680
```



# 8
# Tb2PmSm5Sc

Crystalline Tb2PmSm5Sc at its relaxed geometry (PBE, Alexandria).

Summary:
M_tot   0.00 μB per cell
E_tot   -4.721 eV/atom
DOS(E_F)   56.41 states/eV/cell
Energy of formation   0.1606 eV per atom

```
data_Tb2PmSm5Sc
_chemical_formula_sum 'Tb8 Pm4 Sm20 Sc4'
_symmetry_space_group_name_H-M 'C m c 21'
_symmetry_Int_Tables_number 36
_symmetry_space_group_name_Hall 'C 2c -2'
_cell_length_a 5.625
_cell_length_b 20.138
_cell_length_c 10.479
_cell_angle_alpha 90.00
_cell_angle_beta 90.00
_cell_angle_gamma 90.00
loop_
_atom_site_label
_atom_site_type_symbol
_atom_site_fract_x
_atom_site_fract_y
_atom_site_fract_z
Tb1 Tb 0.000 0.113 0.000
Tb2 Tb 0.000 0.115 0.425
Pm1 Pm 0.000 0.409 0.147
Sm1 Sm 0.000 0.017 0.704
Sm2 Sm 0.000 0.276 0.010
Sm3 Sm 0.000 0.298 0.394
Sm4 Sm 0.000 0.375 0.708
Sm5 Sm 0.000 0.484 0.431
Sc1 Sc 0.000 0.195 0.703
```



# 9
# TbPmSm2Sc

Crystalline TbPmSm2Sc at its relaxed geometry (PBE, Alexandria).

Summary:
M_tot   0.00 μB per cell
E_tot   -4.806 eV/atom
DOS(E_F)   14.56 states/eV/cell
Energy of formation   0.2245 eV per atom

```
data_TbPmSm2Sc
_chemical_formula_sum 'Tb2 Pm2 Sm4 Sc2'
_symmetry_space_group_name_H-M 'P m m a'
_symmetry_Int_Tables_number 51
_symmetry_space_group_name_Hall '-P 2a 2a'
_cell_length_a 6.214
_cell_length_b 7.845
_cell_length_c 6.609
_cell_angle_alpha 90.00
_cell_angle_beta 90.00
_cell_angle_gamma 90.00
loop_
_atom_site_label
_atom_site_type_symbol
_atom_site_fract_x
_atom_site_fract_y
_atom_site_fract_z
Tb1 Tb 0.250 0.000 0.096
Pm1 Pm 0.250 0.500 0.305
Sm1 Sm 0.250 0.291 0.782
Sc1 Sc 0.000 0.000 0.500
```



# 10
# Tb6Pm2Sm3Sc

Crystalline Tb6Pm2Sm3Sc at its relaxed geometry (PBE, Alexandria).

Summary:
M_tot   0.00 μB per cell
E_tot   -4.791 eV/atom
DOS(E_F)   30.77 states/eV/cell
Energy of formation   0.0237 eV per atom

```
data_Tb6Pm2Sm3Sc
_chemical_formula_sum 'Tb12 Pm4 Sm6 Sc2'
_symmetry_space_group_name_H-M 'C 1 2/m 1'
_symmetry_Int_Tables_number 12
_symmetry_space_group_name_Hall '-C 2y'
_cell_length_a 6.179
_cell_length_b 10.698
_cell_length_c 11.839
_cell_angle_alpha 90.00
_cell_angle_beta 99.99
_cell_angle_gamma 90.00
loop_
_atom_site_label
_atom_site_type_symbol
_atom_site_fract_x
_atom_site_fract_y
_atom_site_fract_z
Tb1 Tb 0.247 0.165 0.247
Tb2 Tb 0.248 0.000 0.752
Pm1 Pm 0.000 0.334 0.000
Sm1 Sm 0.000 0.167 0.500
Sm2 Sm 0.000 0.500 0.500
Sc1 Sc 0.000 0.000 0.000
```



# 11
# Tb4PmSm2Sc

Crystalline Tb4PmSm2Sc at its relaxed geometry (PBE, Alexandria).

Summary:
M_tot   0.00 μB per cell
E_tot   -4.850 eV/atom
DOS(E_F)   11.34 states/eV/cell
Energy of formation   0.0300 eV per atom

```
data_Tb4PmSm2Sc
_chemical_formula_sum 'Tb4 Pm1 Sm2 Sc1'
_symmetry_space_group_name_H-M 'P 4/m m m'
_symmetry_Int_Tables_number 123
_symmetry_space_group_name_Hall '-P 4 2'
_cell_length_a 5.020
_cell_length_b 5.020
_cell_length_c 10.051
_cell_angle_alpha 90.00
_cell_angle_beta 90.00
_cell_angle_gamma 90.00
loop_
_atom_site_label
_atom_site_type_symbol
_atom_site_fract_x
_atom_site_fract_y
_atom_site_fract_z
Tb1 Tb 0.000 0.500 0.244
Pm1 Pm 0.000 0.000 0.500
Sm1 Sm 0.000 0.000 0.000
Sm2 Sm 0.500 0.500 0.500
Sc1 Sc 0.500 0.500 0.000
```



# 12
# TbPmSm3Sc

Crystalline TbPmSm3Sc at its relaxed geometry (PBE, Alexandria).

Summary:
M_tot   0.00 μB per cell
E_tot   -4.942 eV/atom
DOS(E_F)   36.62 states/eV/cell
Energy of formation   0.0364 eV per atom

```
data_TbPmSm3Sc
_chemical_formula_sum 'Tb4 Pm4 Sm12 Sc4'
_symmetry_space_group_name_H-M 'C m c m'
_symmetry_Int_Tables_number 63
_symmetry_space_group_name_Hall '-C 2c 2'
_cell_length_a 5.012
_cell_length_b 15.118
_cell_length_c 10.097
_cell_angle_alpha 90.00
_cell_angle_beta 90.00
_cell_angle_gamma 90.00
loop_
_atom_site_label
_atom_site_type_symbol
_atom_site_fract_x
_atom_site_fract_y
_atom_site_fract_z
Tb1 Tb 0.000 0.000 0.000
Pm1 Pm 0.000 0.497 0.250
Sm1 Sm 0.000 0.169 0.250
Sm2 Sm 0.000 0.333 0.001
Sc1 Sc 0.000 0.167 0.750
```